Nd3SmEr2 (PBE-GGA, relaxed); space-group type = No. 63
1.0
7.492 -5.057 0.000
7.492 5.057 0.000
0.000 0.000 5.634
Nd Sm Er
6 2 4
Cartesian
7.492 4.137 4.226
3.589 1.321 1.409
3.589 -1.321 4.226
11.396 1.321 1.409
11.396 -1.321 4.226
7.492 -4.137 1.409
7.492 2.369 1.409
7.492 -2.369 4.226
5.899 0.965 4.226
5.899 -0.965 1.409
9.085 0.965 4.226
9.085 -0.965 1.409

***

NdSm3Er5 (PBE-GGA, relaxed); space-group type = No. 12
1.0
7.645 -5.648 0.000
7.645 5.648 0.000
-6.488 0.000 7.575
Nd Sm Er
2 6 10
Cartesian
1.155 0.000 3.068
7.648 0.000 4.507
0.000 0.000 0.000
-2.007 0.000 2.755
6.279 0.000 1.452
4.401 0.000 3.788
2.524 0.000 6.123
10.810 0.000 4.820
3.705 2.835 1.878
3.172 0.000 0.305
7.645 2.713 0.000
-0.723 0.000 5.888
5.098 2.835 5.697
3.705 -2.835 1.878
9.526 0.000 1.687
7.645 -2.713 0.000
5.631 0.000 7.270
5.098 -2.835 5.697

***

NdSm3Er6 (PBE-GGA, relaxed); space-group type = No. 146
1.0
4.934 2.849 3.858
-4.934 2.849 3.858
0.000 -5.698 3.858
Nd Sm Er
1 3 6
Cartesian
0.000 0.000 0.000
0.000 0.000 2.904
0.000 0.000 5.787
0.000 0.000 8.660
-1.620 -2.887 3.873
-3.234 -0.002 5.803
-1.690 2.846 3.873
1.619 -2.800 5.804
3.310 0.040 3.873
1.615 2.801 5.804

***

NdSm2Er (PBE-GGA, relaxed); space-group type = No. 123
1.0
4.250 0.000 0.000
0.000 4.250 0.000
0.000 0.000 7.410
Nd Sm Er
1 2 1
Cartesian
0.000 0.000 0.000
2.125 2.125 1.904
2.125 2.125 5.506
0.000 0.000 3.705

***

Nd6SmEr5 (PBE-GGA, relaxed); space-group type = No. 71
1.0
-2.562 5.052 7.660
2.562 -5.052 7.660
2.562 5.052 -7.660
Nd Sm Er
6 1 5
Cartesian
2.562 2.517 -2.555
0.000 2.511 0.000
2.562 2.517 2.555
0.000 2.535 5.105
0.000 7.594 0.000
0.000 2.535 10.215
0.000 0.000 7.660
2.562 0.000 0.000
0.000 0.000 2.555
2.562 0.000 5.097
0.000 5.052 2.563
0.000 0.000 12.764

***

NdSm4Er4 (PBE-GGA, relaxed); space-group type = No. 2
1.0
6.194 0.000 0.000
-1.027 9.419 0.000
-3.082 -2.369 10.002
Nd Sm Er
2 8 8
Cartesian
0.522 0.073 3.039
1.562 6.978 6.963
0.520 6.849 0.825
-0.508 -0.724 6.405
-1.533 5.280 7.511
-0.497 2.678 5.286
2.581 4.372 4.716
3.617 1.770 2.491
2.592 7.774 3.596
1.564 0.201 9.177
-0.520 6.060 4.147
-1.537 1.882 8.629
0.523 3.485 1.924
-1.525 -1.509 9.727
3.610 8.559 0.274
1.562 3.565 8.077
3.621 5.168 1.373
2.604 0.991 5.854

***

NdSm5Er (PBE-GGA, relaxed); space-group type = No. 2
1.0
6.308 0.000 0.000
-2.446 5.817 0.000
-1.130 -1.689 6.677
Nd Sm Er
1 5 1
Cartesian
0.000 0.000 0.000
-1.550 1.774 5.117
0.504 4.865 1.562
1.366 2.064 3.339
2.228 -0.736 5.115
4.282 2.354 1.560
-0.565 -0.844 3.339

***

Nd7Sm3Er (PBE-GGA, relaxed); space-group type = No. 15
1.0
9.705 -3.623 0.000
9.705 3.623 0.000
-5.578 0.000 11.375
Nd Sm Er
14 6 2
Cartesian
1.047 1.840 11.063
3.819 1.816 5.360
5.521 2.048 8.531
5.348 0.016 2.564
2.559 -0.016 8.251
9.996 1.840 5.999
12.802 1.816 0.328
1.030 -1.816 11.047
3.836 -1.840 5.376
11.272 0.016 3.123
8.483 -0.016 8.810
8.310 -2.048 2.844
10.012 -1.816 6.015
12.785 -1.840 0.311
-1.047 0.006 8.802
1.742 -0.006 3.115
9.705 0.000 0.000
6.916 0.000 5.687
12.089 0.006 8.259
14.878 -0.006 2.572
0.000 0.000 0.000
-2.789 0.000 5.687

***

Nd4Sm7Er (PBE-GGA, relaxed); space-group type = No. 12
1.0
8.212 -3.021 0.000
8.212 3.021 0.000
-4.131 0.000 8.395
Nd Sm Er
4 7 1
Cartesian
0.403 0.000 1.691
-0.797 0.000 7.447
13.090 0.000 0.948
11.890 0.000 6.704
-2.066 0.000 4.198
2.196 0.000 5.244
3.666 0.000 2.321
6.626 0.000 0.553
5.668 0.000 7.842
8.628 0.000 6.074
10.097 0.000 3.151
6.147 0.000 4.198

***

NdSm5Er3 (PBE-GGA, relaxed); space-group type = No. 12
1.0
8.481 -4.075 0.000
8.481 4.075 0.000
-8.123 0.000 9.290
Nd Sm Er
2 10 6
Cartesian
2.936 0.000 1.237
5.903 0.000 8.053
-2.418 0.000 5.319
5.591 2.416 2.078
3.248 2.416 7.212
-2.455 0.000 8.695
8.481 1.473 0.000
8.481 -1.473 0.000
11.294 0.000 0.595
5.591 -2.416 2.078
3.248 -2.416 7.212
11.257 0.000 3.971
0.000 0.000 0.000
0.173 0.000 3.157
0.990 0.000 6.344
4.419 0.000 4.645
7.849 0.000 2.946
8.665 0.000 6.133

***

Nd3Sm2Er4 (PBE-GGA, relaxed); space-group type = No. 2
1.0
6.219 0.000 0.000
1.037 6.133 0.000
2.059 0.694 7.719
Nd Sm Er
3 2 4
Cartesian
0.000 0.000 0.000
4.133 5.609 1.723
5.181 1.219 5.996
4.131 4.553 5.146
5.182 2.274 2.573
2.060 1.767 4.275
2.074 2.817 0.864
7.240 4.010 6.855
7.254 5.061 3.444

***

Nd4Sm5Er2 (PBE-GGA, relaxed); space-group type = No. 71
1.0
-1.762 4.706 11.610
1.762 -4.706 11.610
1.762 4.706 -11.610
Nd Sm Er
4 5 2
Cartesian
0.000 0.000 2.230
1.762 1.917 0.000
0.000 2.788 11.610
0.000 0.000 20.990
1.762 2.781 -3.504
1.762 2.781 3.504
0.000 4.706 0.000
0.000 1.924 8.106
0.000 1.924 15.114
0.000 0.000 5.342
0.000 0.000 17.879

***

Total moment list, top to bottom, in μB/f.u.: 0.00; 0.00; 0.00; 0.00; 0.00; 0.00; 0.00; 0.00; 0.41; 0.00; 0.00; 0.00
Uncorrected energy list, top to bottom, in eV per atom: -4.41; -4.12; -4.33; -4.57; -4.66; -4.64; -4.53; -4.55; -4.50; -4.26; -4.65; -4.46